Crystalline NaTeBr2 at its relaxed geometry. Source: Alexandria, functional PBE.

Values from the calculation:
mass density	4.18	g/cm3
symmetry	No. 122
offset from the most stable computed form	0.272	eV per atom
magnetization	0.0	μB/cell
DOS at the Fermi energy	3.942	states/eV/f.u.

```
8
Lattice="-2.9203 3.1246 6.9291 -7.5999 -1.0747 -2.7184 -5.3188 -2.3736 3.6131" Properties=species:S:1:pos:R:3 pbc="T T T"
Na -5.2601 1.0250 2.1053
Na -9.0894 -1.2117 1.5001
Te 0.0000 0.0000 0.0000
Te -6.7496 0.8880 6.3238
Br -4.0840 1.2028 4.8447
Br -6.4655 -0.8522 0.1199
Br -7.9884 -1.0192 4.2695
Br -13.1400 0.0211 6.4136
```